(1)
La2Tb4NdSm: relaxed, PBE.

Results
E_form, eV per atom: 0.016
E, eV/atom: -4.72
Total magnetization, μB per cell: 0.00

a b c (Å): 3.6468 6.2926 11.9600
angles (deg): 79.74 90.00 90.00
Closest atoms and distances in Å follow each position.
Fractional positions:
La: 0.0000 0.0000 0.0000  6 Tb 3.62-3.63, 4 Nd 3.64, 2 La 3.65
La: 0.5000 0.0000 0.5000  6 Tb 3.61, 4 Sm 3.64, 2 La 3.65
Tb: 0.0000 0.7501 0.7499  3 La 3.61-3.62, 2 Nd 3.62, 1 Sm 3.62, 6 Tb 3.63-3.65
Tb: 0.0000 0.2499 0.2501  3 La 3.61-3.62, 2 Nd 3.62, 1 Sm 3.62, 6 Tb 3.63-3.65
Tb: 0.5000 0.7489 0.2510  2 Sm 3.60, 3 La 3.61-3.63, 1 Nd 3.62, 6 Tb 3.63-3.65
Tb: 0.5000 0.2511 0.7490  2 Sm 3.60, 3 La 3.61-3.62, 1 Nd 3.62, 6 Tb 3.63-3.65
Nd: 0.5000 0.5000 0.0000  6 Tb 3.62, 4 La 3.64, 2 Nd 3.65
Sm: 0.0000 0.5000 0.5000  6 Tb 3.60-3.62, 4 La 3.64, 2 Sm 3.65

(2)
La2Tb4NdSm2: relaxed, PBE.

Results
E_form, eV per atom: 0.000
E, eV/atom: -4.73
Total magnetization, μB per cell: 0.00

a b c (Å): 3.6651 9.6787 9.7152
angles (deg): 115.25 90.00 100.91
Closest atoms and distances in Å follow each position.
Fractional positions:
La: 0.3338 0.6676 0.9997  3 Tb 3.62-3.63, 3 Sm 3.63, 2 Nd 3.65, 4 La 3.67-3.68
La: 0.6662 0.3324 0.0003  3 Tb 3.62-3.63, 3 Sm 3.63, 2 Nd 3.65, 4 La 3.67-3.68
Tb: 0.8145 0.6289 0.6627  3 Sm 3.54-3.67, 6 Tb 3.55-3.67, 1 Nd 3.62, 2 La 3.63
Tb: 0.1855 0.3711 0.3373  3 Sm 3.54-3.67, 6 Tb 3.55-3.67, 1 Nd 3.62, 2 La 3.63
Tb: 0.5199 0.0398 0.3355  4 Sm 3.56-3.67, 5 Tb 3.59-3.67, 2 Nd 3.61, 1 La 3.62
Tb: 0.4801 0.9602 0.6645  4 Sm 3.56-3.67, 5 Tb 3.59-3.67, 2 Nd 3.61, 1 La 3.62
Nd: 0.0000 0.0000 0.0000  6 Tb 3.61-3.62, 4 La 3.65, 2 Nd 3.67
Sm: 0.8527 0.7055 0.3372  7 Tb 3.54-3.67, 3 La 3.63, 2 Sm 3.67
Sm: 0.1473 0.2945 0.6628  7 Tb 3.54-3.67, 3 La 3.63, 2 Sm 3.67

Which of these has the highest E? La2Tb4NdSm